# 1
An optimized crystal structure of Pm2InGaPd6, computed with GGA-PBE.

Properties
- theoretical density (Mg/m³) = 9.4
- energy relative to the elements (eV/atom) = -0.650
- total energy (eV/atom) = -5.292
- magnetic moment (μB/cell) = 0.00
- volume (Å³/cell) = 197.19

a b c (Å): 5.5705 6.4770 6.7027
angles (deg): 73.26 65.56 64.68
Last column: nearest neighbours and their distance in Å.
Space group P-1 (No. 2)
Asymmetric unit:
1 Pm 0.9999 0.2481 0.2524  5 Pd 2.85-3.17
2 In 0.5000 0.5000 0.0000  6 Pd 2.64-2.75
3 Ga 0.5000 0.0000 0.5000  6 Pd 2.50-2.63
4 Pd 0.0122 0.1848 0.7974  1 Ga 2.63, 4 Pd 2.75-2.88, 1 In 2.75
5 Pd 0.3174 0.4301 0.4369  1 Ga 2.50, 1 In 2.64
6 Pd 0.4943 0.8161 0.2024  1 Ga 2.62, 1 In 2.75, 4 Pd 2.75-2.87


# 2
An optimized crystal structure of PmInGaPd3, computed with GGA-PBE.

Properties
- theoretical density (Mg/m³) = 9.0
- energy relative to the elements (eV/atom) = -0.549
- total energy (eV/atom) = -4.898
- magnetic moment (μB/cell) = 0.00
- volume (Å³/cell) = 480.25

a b c (Å): 5.7788 13.3433 6.2283
angles (deg): 90.00 90.00 90.00
Last column: nearest neighbours and their distance in Å.
Space group Cmcm (No. 63)
Asymmetric unit:
1 Pm 0.0000 0.1763 0.2500  6 Pd 2.91-3.15, 1 Ga 3.03, 2 In 3.14
2 In 0.0000 0.1468 0.7500  5 Pd 2.70-2.86, 2 Ga 2.97
3 Ga 0.0000 0.4037 0.2500  4 Pd 2.51
4 Pd 0.0000 0.3489 0.7500  1 In 2.70, 2 Pm 2.91, 4 Pd 2.95
5 Pd 0.2413 0.0000 0.0000  2 Ga 2.51, 1 Pd 2.79